Cs2MnHgO: relaxed, GGA+U.

## Properties
energy: -3.44 eV per atom
crystal system: tetragonal
D(E_F): 0.48 states/eV/atom
M_tot: 4.02 μB/f.u.

Unit cell a=6.791 b=6.791 c=3.866 alpha=90.00 beta=90.00 gamma=90.00
Last column: magnetic moment on the atom in μB.
Fractional positions:
Cs  0.000  0.500  0.000  -0.02
Cs  0.500  0.000  0.000  -0.02
Mn  0.000  0.000  0.500  4.24
Hg  0.500  0.500  0.500  -0.02
O  0.000  0.000  0.000  -0.02